An optimized crystal structure of Rb3Au. Source: Alexandria via LeMat-Bulk, functional PBE-GGA.

Lattice parameters (Å, degrees): 6.0982 6.0982 10.5821 90.00 90.00 90.00
Closest atoms and distances in Å follow each position.
Space group I4/mmm (No. 139)
Asymmetric unit:
Rb 0.0000 0.0000 0.0000 [2 per cell]  8 Rb 4.04, 4 Au 4.31
Rb 0.0000 0.5000 0.2500 [4 per cell]  8 Rb 4.04-4.31, 4 Au 4.04
Au 0.0000 0.0000 0.5000 [2 per cell]  12 Rb 4.04-4.31

Computed properties:
final energy: -0.1144 Ry/atom
DOS at the Fermi energy: 1.00 states/eV/f.u.